1.
# La3SmTe4 GGA-PBE optimized geometry
# * excess energy over the best structure of this formula in the dataset: 0 meV/atom
data_La3SmTe4
_chemical_formula_sum 'La6 Sm2 Te8'
_symmetry_space_group_name_H-M 'P 1 2/c 1'
_symmetry_Int_Tables_number 13
_cell_length_a 7.903
_cell_length_b 9.016
_cell_length_c 7.903
_cell_angle_alpha 90.00
_cell_angle_beta 109.16
_cell_angle_gamma 90.00
loop_
_symmetry_equiv_pos_as_xyz
'x,y,z'
'-x,-y,-z'
'-x,y,-z+1/2'
'x,-y,z+1/2'
loop_
_atom_site_label
_atom_site_fract_x
_atom_site_fract_y
_atom_site_fract_z
_atom_site_occupancy
La1 0.000 0.125 0.250 1
La2 0.000 0.375 0.750 1
La3 0.500 0.126 0.750 1
Sm1 0.500 0.375 0.250 1
Te1 0.253 0.128 0.003 1
Te2 0.256 0.379 0.500 1



2.
# LaSmTe GGA-PBE optimized geometry
# * excess energy over the best structure of this formula in the dataset: 252 meV/atom
data_LaSmTe
_chemical_formula_sum 'La1 Sm1 Te1'
_symmetry_space_group_name_H-M 'P 3 m 1'
_symmetry_Int_Tables_number 156
_cell_length_a 5.3139
_cell_length_b 5.3139
_cell_length_c 4.0653
_cell_angle_alpha 90.00
_cell_angle_beta 90.00
_cell_angle_gamma 120.00
loop_
_symmetry_equiv_pos_as_xyz
'x,y,z'
'-y,x-y,z'
'-x+y,-x,z'
'-y,-x,z'
'-x+y,y,z'
'x,x-y,z'
loop_
_atom_site_label
_atom_site_fract_x
_atom_site_fract_y
_atom_site_fract_z
_atom_site_occupancy
La1 0.0000 0.0000 0.0000 1
Sm1 0.3333 0.6667 0.4927 1
Te1 0.6667 0.3333 0.4147 1



3.
# La2SmTe3 GGA-PBE optimized geometry
# * excess energy over the best structure of this formula in the dataset: 4 meV/atom
data_La2SmTe3
_chemical_formula_sum 'La4 Sm2 Te6'
_symmetry_space_group_name_H-M 'I m m m'
_symmetry_Int_Tables_number 71
_symmetry_space_group_name_Hall '-I 2 2'
_cell_length_a 4.539
_cell_length_b 6.413
_cell_length_c 13.602
_cell_angle_alpha 90.00
_cell_angle_beta 90.00
_cell_angle_gamma 90.00
loop_
_atom_site_label
_atom_site_fract_x
_atom_site_fract_y
_atom_site_fract_z
_atom_site_occupancy
La1 0.000 0.000 0.168 1
Sm1 0.000 0.000 0.500 1
Te1 0.000 0.500 0.162 1
Te2 0.000 0.500 0.500 1



4.
# LaSmTe3 GGA-PBE optimized geometry
# * excess energy over the best structure of this formula in the dataset: 0 meV/atom
data_LaSmTe3
_chemical_formula_sum 'La4 Sm4 Te12'
_symmetry_space_group_name_H-M 'P n m a'
_symmetry_Int_Tables_number 62
_cell_length_a 8.409
_cell_length_b 4.520
_cell_length_c 17.550
_cell_angle_alpha 90.00
_cell_angle_beta 90.00
_cell_angle_gamma 90.00
loop_
_symmetry_equiv_pos_as_xyz
'x,y,z'
'-x,-y,-z'
'-x+1/2,-y,z+1/2'
'x+1/2,y,-z+1/2'
'x+1/2,-y+1/2,-z+1/2'
'-x+1/2,y+1/2,z+1/2'
'-x,y+1/2,-z'
'x,-y+1/2,z'
loop_
_atom_site_label
_atom_site_fract_x
_atom_site_fract_y
_atom_site_fract_z
_atom_site_occupancy
La1 0.134 0.250 0.202 1
Sm1 0.230 0.750 0.458 1
Te1 0.004 0.250 0.393 1
Te2 0.120 0.750 0.064 1
Te3 0.155 0.250 0.783 1



5.
Crystalline La2Sm2Te5 at its relaxed geometry. Source: the Alexandria database, functional GGA-PBE.

Geometry as CIF:
```
data_La2Sm2Te5
_chemical_formula_sum 'La8 Sm8 Te20'
_symmetry_space_group_name_H-M 'C m c e'
_symmetry_Int_Tables_number 64
_symmetry_space_group_name_Hall '-C 2ac 2'
_cell_length_a 16.169
_cell_length_b 8.426
_cell_length_c 8.434
_cell_angle_alpha 90.00
_cell_angle_beta 90.00
_cell_angle_gamma 90.00
loop_
_atom_site_label
_atom_site_fract_x
_atom_site_fract_y
_atom_site_fract_z
_atom_site_occupancy
La1 0.196 0.000 0.000 1
Sm1 0.000 0.146 0.349 1
Te1 0.000 0.000 0.000 1
Te2 0.137 0.158 0.655 1
```



6.
Crystalline La6SmTe8 at its relaxed geometry. Source: the Alexandria database, functional GGA-PBE.

Geometry as CIF:
```
data_La6SmTe8
_chemical_formula_sum 'La24 Sm4 Te32'
_symmetry_space_group_name_H-M 'F m -3 m'
_symmetry_Int_Tables_number 225
_symmetry_space_group_name_Hall '-F 4 2 3'
_cell_length_a 12.902
_cell_length_b 12.902
_cell_length_c 12.902
_cell_angle_alpha 90.00
_cell_angle_beta 90.00
_cell_angle_gamma 90.00
loop_
_atom_site_label
_atom_site_fract_x
_atom_site_fract_y
_atom_site_fract_z
_atom_site_occupancy
La1 0.000 0.250 0.250 1
Sm1 0.000 0.000 0.000 1
Te1 0.000 0.000 0.249 1
Te2 0.250 0.250 0.250 1
```



7.
# La2SmTe4 GGA-PBE optimized geometry
# * excess energy over the best structure of this formula in the dataset: 0 meV/atom
data_La2SmTe4
_chemical_formula_sum 'La8 Sm4 Te16'
_symmetry_space_group_name_H-M 'I m m a'
_symmetry_Int_Tables_number 74
_symmetry_space_group_name_Hall '-I 2b 2'
_cell_length_a 9.031
_cell_length_b 9.093
_cell_length_c 12.628
_cell_angle_alpha 90.00
_cell_angle_beta 90.00
_cell_angle_gamma 90.00
loop_
_atom_site_label
_atom_site_fract_x
_atom_site_fract_y
_atom_site_fract_z
_atom_site_occupancy
La1 0.000 0.000 0.000 1
La2 0.250 0.250 0.250 1
Sm1 0.250 0.250 0.750 1
Te1 0.000 0.006 0.741 1
Te2 0.246 0.250 0.503 1



8.
# La3SmTe4 GGA-PBE optimized geometry
# * excess energy over the best structure of this formula in the dataset: 3 meV/atom
data_La3SmTe4
_chemical_formula_sum 'La6 Sm2 Te8'
_symmetry_space_group_name_H-M 'C m m m'
_symmetry_Int_Tables_number 65
_symmetry_space_group_name_Hall '-C 2 2'
_cell_length_a 9.163
_cell_length_b 12.865
_cell_length_c 4.513
_cell_angle_alpha 90.00
_cell_angle_beta 90.00
_cell_angle_gamma 90.00
loop_
_atom_site_label
_atom_site_fract_x
_atom_site_fract_y
_atom_site_fract_z
_atom_site_occupancy
La1 0.000 0.000 0.000 1
La2 0.250 0.250 0.500 1
Sm1 0.000 0.500 0.000 1
Te1 0.000 0.253 0.000 1
Te2 0.244 0.500 0.500 1



9.
Crystalline La3Sm4Te8 at its relaxed geometry. Source: the Alexandria database, functional GGA-PBE.

Geometry as CIF:
```
data_La3Sm4Te8
_chemical_formula_sum 'La6 Sm8 Te16'
_symmetry_space_group_name_H-M 'C 1 2/m 1'
_symmetry_Int_Tables_number 12
_cell_length_a 12.711
_cell_length_b 12.718
_cell_length_c 8.958
_cell_angle_alpha 90.00
_cell_angle_beta 134.76
_cell_angle_gamma 90.00
loop_
_symmetry_equiv_pos_as_xyz
'x,y,z'
'-x,-y,-z'
'-x,y,-z'
'x,-y,z'
'x+1/2,y+1/2,z'
'-x+1/2,-y+1/2,-z'
'-x+1/2,y+1/2,-z'
'x+1/2,-y+1/2,z'
loop_
_atom_site_label
_atom_site_fract_x
_atom_site_fract_y
_atom_site_fract_z
_atom_site_occupancy
La1 0.000 0.000 0.000 1
La2 0.250 0.250 0.000 1
Sm1 0.000 0.500 0.000 1
Sm2 0.000 0.500 0.500 1
Sm3 0.250 0.250 0.500 1
Te1 0.000 0.248 0.500 1
Te2 0.000 0.253 0.000 1
Te3 0.249 0.500 0.004 1
Te4 0.250 0.000 0.506 1
```



10.
# LaSmTe2 GGA-PBE optimized geometry
# * excess energy over the best structure of this formula in the dataset: 125 meV/atom
data_LaSmTe2
_chemical_formula_sum 'La1 Sm1 Te2'
_symmetry_space_group_name_H-M 'P 4/m m m'
_symmetry_Int_Tables_number 123
_symmetry_space_group_name_Hall '-P 4 2'
_cell_length_a 5.499
_cell_length_b 5.499
_cell_length_c 3.894
_cell_angle_alpha 90.00
_cell_angle_beta 90.00
_cell_angle_gamma 90.00
loop_
_atom_site_label
_atom_site_fract_x
_atom_site_fract_y
_atom_site_fract_z
_atom_site_occupancy
La1 0.000 0.000 0.000 1
Sm1 0.500 0.500 0.000 1
Te1 0.000 0.500 0.500 1



11.
Crystalline LaSm2Te3 at its relaxed geometry. Source: the Alexandria database, functional GGA-PBE.

Geometry as CIF:
```
data_LaSm2Te3
_chemical_formula_sum 'La2 Sm4 Te6'
_symmetry_space_group_name_H-M 'I m m m'
_symmetry_Int_Tables_number 71
_symmetry_space_group_name_Hall '-I 2 2'
_cell_length_a 4.502
_cell_length_b 6.347
_cell_length_c 13.452
_cell_angle_alpha 90.00
_cell_angle_beta 90.00
_cell_angle_gamma 90.00
loop_
_atom_site_label
_atom_site_fract_x
_atom_site_fract_y
_atom_site_fract_z
_atom_site_occupancy
La1 0.000 0.000 0.000 1
Sm1 0.000 0.000 0.336 1
Te1 0.000 0.500 0.000 1
Te2 0.000 0.500 0.328 1
```



no.,formation energy (no corrections) (eV/atom),V (Å³/cell)
1,-1.5443,532
2,-0.5793,99
3,-1.5223,396
4,-1.5254,667
5,-1.4583,1149
6,-1.5843,2148
7,-1.5285,1037
8,-1.5418,532
9,-1.5051,1028
10,-1.3690,118
11,-1.4514,384